(1)
TbSeBr: optimized geometry, PBE.

For the formation energy (no corrections), the calculation gives -1.6898 eV/atom. The uncorrected energy comes out at -4.952 eV/atom.

It has space group F-43m (No. 216), with a = 6.968 Å, b = 6.968 Å, c = 6.968 Å, α = 90.00°, β = 90.00° and γ = 90.00°. The asymmetric unit holds Tb at (0.000, 0.000, 0.000), Se at (0.250, 0.250, 0.750) and Br at (0.250, 0.250, 0.250).

***

(2)
LaTbTm: optimized geometry, PBE.

The uncorrected energy comes out at -4.420 eV/atom. The calculation puts the calculated formation energy at 257 meV/atom. The distance to the lowest polymorph of the same formula comes out at 22.6 kJ/mol of atoms.

It has space group P-62m (No. 189), with a = 8.0459 Å, b = 8.0459 Å, c = 5.3450 Å, α = 90.00°, β = 90.00° and γ = 120.00°. The asymmetric unit holds La at (0.0000, 0.0000, 0.0000), La at (0.3333, 0.6667, 0.5000), Tb at (0.0000, 0.7607, 0.5000) and Tm at (0.0000, 0.4470, 0.0000).

***

(3)
TmThTc: optimized geometry, PBE.

The uncorrected energy comes out at -7.252 eV/atom. The calculation puts the calculated formation energy at 168 meV/atom. The distance to the lowest polymorph of the same formula comes out at 27.7 kJ/mol of atoms.

It has space group P3_212 (No. 153), with a = 5.5731 Å, b = 5.5731 Å, c = 7.9360 Å, α = 90.00°, β = 90.00° and γ = 120.00°. The asymmetric unit holds Tm at (0.1929, 0.3857, 0.3333), Th at (0.3367, 0.1683, 0.0000) and Tc at (0.5362, 0.0723, 0.3333).

***

(4)
Mn2AsI: optimized geometry, PBE.

For the formation energy (no corrections), the calculation gives 0.7246 eV/atom. The uncorrected energy comes out at -5.410 eV/atom. The distance to the lowest polymorph of the same formula comes out at 0.0 kJ/mol of atoms.

It has space group I-42d (No. 122), with a = 5.434 Å, b = 5.434 Å, c = 11.434 Å, α = 90.00°, β = 90.00° and γ = 90.00°. The asymmetric unit holds Mn at (0.218, 0.250, 0.125), As at (0.000, 0.000, 0.000) and I at (0.000, 0.000, 0.500).

***

(5)
Er3SnS2: optimized geometry, PBE.

For the formation energy (no corrections), the calculation gives -1.1467 eV/atom. The uncorrected energy comes out at -5.471 eV/atom.

It has space group Imma (No. 74), with a = 7.081 Å, b = 10.607 Å, c = 8.900 Å, α = 90.00°, β = 90.00° and γ = 90.00°. The asymmetric unit holds Er at (0.231, 0.000, 0.000), Er at (0.250, 0.250, 0.250), Sn at (0.000, 0.250, 0.946) and S at (0.000, 0.058, 0.300).

***

(6)
RbBeBi3: optimized geometry, PBE.

The uncorrected energy comes out at -1.481 eV/atom. The calculation puts the calculated formation energy at 1786 meV/atom. The distance to the lowest polymorph of the same formula comes out at 152.1 kJ/mol of atoms.

It has space group Pm-3m (No. 221), with a = 6.174 Å, b = 6.174 Å, c = 6.174 Å, α = 90.00°, β = 90.00° and γ = 90.00°. The asymmetric unit holds Rb at (0.000, 0.000, 0.000), Be at (0.500, 0.500, 0.500) and Bi at (0.000, 0.000, 0.500).